An optimized crystal structure of CrIn2GeO6, computed with PBE with a Hubbard U.

The structure in CIF format:
```
data_CrIn2GeO6
_chemical_formula_sum 'Cr1 In2 Ge1 O6'
_space_group_name_H-M_alt 'P 1'
_space_group_IT_number 1
_space_group_name_Hall 'P 1'
_cell_length_a 5.275
_cell_length_b 5.413
_cell_length_c 5.569
_cell_angle_alpha 62.72
_cell_angle_beta 89.86
_cell_angle_gamma 61.39
loop_
_atom_site_label
_atom_site_fract_x
_atom_site_fract_y
_atom_site_fract_z
_atom_site_occupancy
Cr1 0.000 0.000 0.000 1
In1 0.212 0.562 0.639 1
In2 0.725 0.551 0.154 1
Ge1 0.506 0.981 0.521 1
O1 0.149 0.078 0.307 1
O2 0.301 0.078 0.793 1
O3 0.421 0.415 0.333 1
O4 0.602 0.535 0.777 1
O5 0.775 0.828 0.311 1
O6 0.879 0.814 0.799 1
```

size of the total moment: 0.40 μB per atom
volume: 11.92 Å³/atom
crystal system: triclinic
DFT total energy: -6.293 eV per atom